(1)
This record from the Alexandria database describes crystalline ThMg2In2 at its relaxed geometry. The functional is PBE.

Cell: 6.747 4.958 4.958 Å, 120.00 90.00 90.00°
Positions (direct):
Mg (0.326, 0.667, 0.333)
Th (0.000, 0.000, 0.000)
In (0.777, 0.667, 0.333)
In (0.223, 0.333, 0.667)
Mg (0.674, 0.333, 0.667)

**Total moment**: 0.00 μB/atom
**Symmetry**: P-3m1
**E above lowest polymorph**: 0.1336 eV per atom
**Fermi-level density of states**: 5.4 states/eV per cell

(2)
This record from the Alexandria database describes crystalline ThMgIn2 at its relaxed geometry. The functional is PBE.

Cell: 3.644 3.644 7.771 Å, 90.00 90.00 90.00°
Positions (direct):
Th (0.500, 0.500, 0.500)
In (0.000, 0.000, 0.784)
In (0.000, 0.000, 0.216)
Mg (0.500, 0.500, 0.000)

**Total moment**: 0.00 μB/atom
**Symmetry**: P4/mmm
**Calculated total energy**: -15.3 eV per cell
**Fermi-level density of states**: 3.2 states/eV per cell

(3)
This record from the Alexandria database describes crystalline ThMgIn6 at its relaxed geometry. The functional is PBE.

Cell: 4.494 6.781 6.781 Å, 90.03 90.00 90.00°
Positions (direct):
Mg (0.500, 0.000, 0.000)
Th (0.500, 0.500, 0.500)
In (0.500, 0.500, 0.000)
In (0.000, 0.762, 0.238)
In (0.000, 0.762, 0.762)
In (0.000, 0.238, 0.762)
In (0.000, 0.238, 0.238)
In (0.500, 0.000, 0.500)

**Total moment**: 0.00 μB/atom
**Symmetry**: P4/mmm
**Calculated total energy**: -26.6 eV per cell
**Fermi-level density of states**: 4.8 states/eV per cell

(4)
This record from the Alexandria database describes crystalline ThMgIn2 at its relaxed geometry. The functional is PBE.

Cell: 4.600 4.782 4.782 Å, 90.00 90.00 90.00°
Positions (direct):
In (0.000, 0.500, 0.000)
Mg (0.500, 0.000, 0.000)
Th (0.500, 0.500, 0.500)
In (0.000, 0.000, 0.500)

**Total moment**: 0.00 μB/atom
**Symmetry**: P4/mmm
**Calculated total energy**: -15.6 eV per cell
**Fermi-level density of states**: 2.0 states/eV per cell

(5)
This record from the Alexandria database describes crystalline Th3Mg7In4 at its relaxed geometry. The functional is PBE.

Cell: 4.723 8.970 9.252 Å, 73.14 75.21 74.74°
Positions (direct):
Mg (0.665, 0.185, 0.485)
In (0.875, 0.907, 0.344)
Th (0.301, 0.189, 0.209)
Mg (0.509, 0.800, 0.182)
Th (0.000, 0.500, 0.500)
Mg (0.491, 0.200, 0.818)
Mg (0.000, 0.000, 0.000)
Mg (0.156, 0.620, 0.068)
Mg (0.844, 0.380, 0.932)
In (0.125, 0.093, 0.656)
Mg (0.335, 0.815, 0.515)
In (0.649, 0.461, 0.240)
Th (0.699, 0.811, 0.791)
In (0.351, 0.539, 0.760)

**Total moment**: 0.00 μB/atom
**Symmetry**: C2/m
**Calculated total energy**: -46.8 eV per cell
**Fermi-level density of states**: 7.0 states/eV per cell

(6)
This record from the Alexandria database describes crystalline ThMg2In at its relaxed geometry. The functional is PBE.

Cell: 4.645 10.124 9.264 Å, 90.00 104.52 90.00°
Positions (direct):
Mg (0.885, 0.250, 0.770)
Mg (0.301, 0.399, 0.601)
Th (0.685, 0.250, 0.371)
Mg (0.699, 0.601, 0.399)
Th (0.500, 0.500, 0.000)
Th (0.500, 0.000, 0.000)
In (0.138, 0.030, 0.275)
Mg (0.301, 0.101, 0.601)
Mg (0.960, 0.750, 0.920)
In (0.862, 0.970, 0.725)
In (0.138, 0.470, 0.275)
Mg (0.115, 0.750, 0.230)
Mg (0.699, 0.899, 0.399)
Th (0.315, 0.750, 0.629)
In (0.862, 0.530, 0.725)
Mg (0.040, 0.250, 0.080)

**Total moment**: 0.00 μB/atom
**Symmetry**: Cmcm
**E above lowest polymorph**: 0.0541 eV per atom
**Fermi-level density of states**: 9.1 states/eV per cell

- The lowest Fermi-level density of states belongs to which entry?
  number 4

- Number 3 is which compound?
  ThMgIn6

- total moment of number 2 (ThMgIn2)?
  0.00 μB/atom